Nb2InSiS: optimized geometry, PBE-GGA.

Lattice parameters (Å, degrees): 4.5961 5.0116 4.5961 90.00 90.00 90.00
Fractional positions:
Nb  0.5000  0.0000  0.0000
Nb  0.0000  0.0000  0.5000
Si  0.5000  0.5000  0.5000
In  0.0000  0.5000  0.0000
S  0.0000  0.0000  0.0000

## Properties
Uncorrected formation energy   655 meV per atom
Symmetry   P4/mmm, No. 123